[1]
DFT (GGA-PBE) results for a relaxed structure of ScSiSe4.

Properties
Excess energy over the best structure of this formula in the dataset (eV/atom): 0.000

Unit cell a=6.3371 b=6.3371 c=8.8697 alpha=90.00 beta=90.00 gamma=90.00
Closest atoms and distances in Å follow each position.
Fractional positions:
1 Se 0.7649 0.2834 0.1285  1 Si 2.29
2 Se 0.2351 0.7166 0.1285  1 Si 2.29
3 Se 0.7166 0.2351 0.6285  1 Si 2.29
4 Se 0.2834 0.2351 0.8715  1 Si 2.29
5 Se 0.7649 0.7166 0.3715  1 Si 2.29
6 Se 0.2351 0.2834 0.3715  1 Si 2.29
7 Se 0.7166 0.7649 0.8715  1 Si 2.29
8 Se 0.2834 0.7649 0.6285  1 Si 2.29
9 Sc 0.0000 0.0000 0.0000  4 Se 2.60
10 Sc 0.0000 0.0000 0.5000  4 Se 2.60
11 Si 0.0000 0.5000 0.2500  4 Se 2.29
12 Si 0.5000 0.0000 0.7500  4 Se 2.29

---

[2]
DFT (GGA-PBE) results for a relaxed structure of ScSi2Se.

Properties
Raw total energy (eV per atom): -5.52

Unit cell a=3.6489 b=3.6470 c=5.6068 alpha=90.00 beta=90.00 gamma=90.00
Closest atoms and distances in Å follow each position.
Fractional positions:
1 Si 0.0000 0.0000 0.0000  4 Si 2.58
2 Si 0.5000 0.5000 0.0000  4 Si 2.58
3 Se 0.0000 0.5000 0.5000  4 Sc 2.58
4 Sc 0.5000 0.0000 0.5000  4 Se 2.58

---

[3]
DFT (GGA-PBE) results for a relaxed structure of ScSiSe.

Properties
Raw total energy (eV per atom): -5.44

Unit cell a=3.4640 b=3.4640 c=5.8074 alpha=90.00 beta=90.00 gamma=120.00
Closest atoms and distances in Å follow each position.
Fractional positions:
1 Se 0.6667 0.3333 0.3206  3 Sc 2.68, 3 Si 2.84
2 Sc 0.0000 0.0000 0.0129  3 Se 2.68, 3 Si 2.84
3 Si 0.3333 0.6667 0.6666  3 Se 2.84, 3 Sc 2.84

---

[4]
DFT (GGA-PBE) results for a relaxed structure of ScSi2Se.

Properties
Raw total energy (eV per atom): -5.26

Unit cell a=4.6341 b=4.6341 c=3.3920 alpha=90.00 beta=90.00 gamma=90.00
Closest atoms and distances in Å follow each position.
Fractional positions:
1 Sc 0.5000 0.0000 0.5000  8 Si 2.87
2 Se 0.0000 0.5000 0.5000  8 Si 2.87
3 Si 0.5000 0.5000 0.0000  4 Se 2.87, 4 Sc 2.87
4 Si 0.0000 0.0000 0.0000  4 Se 2.87, 4 Sc 2.87

---

[5]
DFT (GGA-PBE) results for a relaxed structure of ScSiSe.

Properties
Raw total energy (eV per atom): -5.31

Unit cell a=4.5810 b=4.5810 c=4.5810 alpha=60.00 beta=60.00 gamma=60.00
Closest atoms and distances in Å follow each position.
Fractional positions:
1 Se 0.0000 0.0000 0.0000  4 Sc 2.81
2 Si 0.5000 0.5000 0.5000  4 Sc 2.81
3 Sc 0.7500 0.7500 0.7500  4 Si 2.81, 4 Se 2.81

---

[6]
DFT (GGA-PBE) results for a relaxed structure of ScSiSe2.

Properties
Raw total energy (eV per atom): -5.18

Unit cell a=6.2780 b=6.2780 c=6.2780 alpha=144.81 beta=144.81 gamma=50.62
Closest atoms and distances in Å follow each position.
Fractional positions:
1 Se 0.2500 0.7500 0.5000  4 Sc 2.68
2 Se 0.0000 0.0000 0.0000  4 Si 2.68
3 Sc 0.7500 0.2500 0.5000  4 Se 2.68
4 Si 0.5000 0.5000 0.0000  4 Se 2.68